1.
Computed, not measured: a relaxed structure of La2DyFe at the PBE level of DFT.

space group = P2_1/m (11)
formation enthalpy at 0 K = 0.0749 eV/atom

Cell: 3.8911 6.3597 9.6015 Å, 90.00 90.00 107.76°
Last column: nearest neighbours and their distance in Å.
Fractional positions:
La  0.1396  0.2800  0.4248  2 Fe 2.89-2.90
La  0.8604  0.7200  0.5752  2 Fe 2.89-2.90
La  0.8604  0.7200  0.9248  2 Fe 2.89-2.90
La  0.1396  0.2800  0.0752  2 Fe 2.89-2.90
Dy  0.4117  0.8220  0.2500  2 Fe 2.75-2.76
Dy  0.5883  0.1780  0.7500  2 Fe 2.75-2.76
Fe  0.7510  0.5000  0.2500  2 Dy 2.75-2.76, 4 La 2.89-2.90
Fe  0.2490  0.5000  0.7500  2 Dy 2.75-2.76, 4 La 2.89-2.90

***

2.
Computed, not measured: a relaxed structure of La3DyFe at the PBE level of DFT.

space group = Pm-3m (221)
formation enthalpy at 0 K = 0.1300 eV/atom

Cell: 5.4278 5.4278 5.4278 Å, 90.00 90.00 90.00°
Last column: nearest neighbours and their distance in Å.
Fractional positions:
La  0.0000  0.5000  0.0000  2 Fe 2.71
La  0.0000  0.0000  0.5000  2 Fe 2.71
La  0.5000  0.0000  0.0000  2 Fe 2.71
Fe  0.0000  0.0000  0.0000  6 La 2.71
Dy  0.5000  0.5000  0.5000  12 La 3.84

***

3.
Computed, not measured: a relaxed structure of La2DyFe9 at the PBE level of DFT.

space group = R-3m (166)
formation enthalpy at 0 K = 0.0196 eV/atom

Cell: 5.1519 5.1519 8.8446 Å, 73.07 73.07 60.00°
Last column: nearest neighbours and their distance in Å.
Fractional positions:
La  0.8590  0.8590  0.4231  12 Fe 3.01-3.21, 3 La 3.24
La  0.1410  0.1410  0.5769  12 Fe 3.01-3.21, 3 La 3.24
Dy  0.0000  0.0000  0.0000  18 Fe 2.97-3.24
Fe  0.6671  0.6671  0.9987  6 Fe 2.47
Fe  0.3329  0.3329  0.0013  6 Fe 2.47
Fe  0.5000  0.5000  0.5000  6 Fe 2.64
Fe  0.4231  0.4231  0.2361  7 Fe 2.47-2.64
Fe  0.9177  0.4231  0.2361  7 Fe 2.47-2.64
Fe  0.4231  0.9177  0.2361  7 Fe 2.47-2.64
Fe  0.5769  0.5769  0.7639  7 Fe 2.47-2.64
Fe  0.5769  0.0823  0.7639  7 Fe 2.47-2.64
Fe  0.0823  0.5769  0.7639  7 Fe 2.47-2.64

***

4.
Computed, not measured: a relaxed structure of LaDyFe at the PBE level of DFT.

space group = I4mm (107)
formation enthalpy at 0 K = 0.1230 eV/atom

Cell: 3.4171 3.4171 7.0475 Å, 104.03 104.03 90.00°
Last column: nearest neighbours and their distance in Å.
Fractional positions:
La  0.2919  0.2919  0.5839  4 Fe 2.96, 1 Dy 3.27
Fe  0.6629  0.6629  0.3258  4 Dy 2.88, 4 La 2.96
Dy  0.0452  0.0452  0.0904  4 Fe 2.88

***

5.
Computed, not measured: a relaxed structure of LaDyFe4 at the PBE level of DFT.

space group = F-43m (216)
formation enthalpy at 0 K = 0.0147 eV/atom

Cell: 5.2180 5.2180 5.2180 Å, 60.00 60.00 60.00°
Last column: nearest neighbours and their distance in Å.
Fractional positions:
La  0.2500  0.2500  0.2500  12 Fe 3.06, 4 Dy 3.20
Fe  0.6254  0.6254  0.1238  6 Fe 2.60-2.62
Fe  0.6254  0.1238  0.6254  6 Fe 2.60-2.62
Fe  0.6254  0.6254  0.6254  6 Fe 2.60-2.62
Fe  0.1239  0.6254  0.6254  6 Fe 2.60-2.62
Dy  0.0000  0.0000  0.0000  12 Fe 3.06, 4 La 3.20

***

6.
Computed, not measured: a relaxed structure of LaDy2Fe at the PBE level of DFT.

space group = P4/mmm (123)
formation enthalpy at 0 K = 0.0787 eV/atom

Cell: 3.3750 3.3750 9.3109 Å, 90.00 90.00 90.00°
Last column: nearest neighbours and their distance in Å.
Fractional positions:
La  0.5000  0.5000  0.5000  4 La 3.37
Fe  0.5000  0.5000  0.0000  8 Dy 2.87
Dy  0.0000  0.0000  0.8282  4 Fe 2.87, 1 Dy 3.20
Dy  0.0000  0.0000  0.1718  4 Fe 2.87, 1 Dy 3.20